The following is a GGA-PBE calculation of a relaxed structure of Cs4NdDy3Te8, from the Alexandria database.

```
Cs4NdDy3Te8
1.0
4.5861 2.6478 8.9275
-4.5861 2.6478 8.9275
0.0000 -5.2956 8.9275
Cs Nd Dy Te
4 1 3 8
Direct
0.0000 0.0000 0.0000
0.0000 0.5000 0.5000
0.5000 0.0000 0.5000
0.5000 0.5000 0.0000
0.5000 0.5000 0.5000
0.0000 0.0000 0.5000
0.0000 0.5000 0.0000
0.5000 0.0000 0.0000
0.2238 0.7339 0.7339
0.2296 0.2296 0.2296
0.2661 0.2661 0.7762
0.2661 0.7762 0.2661
0.7339 0.2238 0.7339
0.7339 0.7339 0.2238
0.7704 0.7704 0.7704
0.7762 0.2661 0.2661
```

## Properties
Electronic total energy   -69.38 eV/cell
Density   5.58 Mg/m³

The following is a GGA-PBE calculation of a relaxed structure of AlTlAg, from the Alexandria database.

```
AlTlAg
1.0
3.3732 0.0000 0.0000
0.0000 3.3732 0.0000
0.0000 0.0000 24.0874
Al Tl Ag
4 4 4
Direct
0.0000 0.0000 0.2163
0.0000 0.0000 0.7837
0.5000 0.5000 0.2837
0.5000 0.5000 0.7163
0.0000 0.0000 0.0711
0.0000 0.0000 0.9289
0.5000 0.5000 0.4289
0.5000 0.5000 0.5711
0.0000 0.0000 0.3359
0.0000 0.0000 0.6641
0.5000 0.5000 0.1641
0.5000 0.5000 0.8359
```

## Properties
ΔH_f (0 K)   0.026 eV/atom
Electronic total energy   -35.53 eV/cell
Density   8.22 Mg/m³
DOS at the Fermi energy   0.58 states/eV/f.u.